MgBe3As after structural relaxation. Source: Alexandria via LeMat-Bulk, functional PBEsol.

a b c (Å): 4.396 4.396 4.396
angles (deg): 90.00 90.00 90.00
Element x y z (fractional)
Be: 0.000 0.500 0.000
Be: 0.000 0.000 0.500
Be: 0.500 0.000 0.000
As: 0.500 0.500 0.500
Mg: 0.000 0.000 0.000

Output
The space group is Pm-3m. The calculation puts the formation energy at 36.0 kcal/mol of atoms.